[1]
# Ba3Sr, optimized geometry, DFT PBEsol
# VASP energy (eV/f.u.): -8.232
# ΔE to the lowest computed polymorph (kcal/mol of atoms): 0.342
# Calculated formation energy (meV per atom): 14
# Fermi-level density of states (states/eV/atom): 1.5811
data_Ba3Sr
_cell_length_a 4.294
_cell_length_b 7.460
_cell_length_c 8.282
_cell_angle_alpha 116.77
_cell_angle_beta 105.02
_cell_angle_gamma 90.00
_space_group_name_H-M_alt 'P 1'
_space_group_IT_number 1
_space_group_name_Hall 'P 1'
loop_
_atom_site_label
_atom_site_type_symbol
_atom_site_fract_x
_atom_site_fract_y
_atom_site_fract_z
Ba1 Ba 0.251 0.251 0.501
Ba2 Ba 0.749 0.749 0.499
Ba3 Ba 0.500 0.833 0.000
Sr1 Sr 0.000 0.334 0.000

=====

[2]
# Ba2Sr, optimized geometry, DFT PBEsol
# VASP energy (eV/f.u.): -5.994
# ΔE to the lowest computed polymorph (kcal/mol of atoms): 1.108
# Calculated formation energy (meV per atom): 48
# Fermi-level density of states (states/eV/atom): 1.7732
data_Ba2Sr
_cell_length_a 6.909
_cell_length_b 6.909
_cell_length_c 8.211
_cell_angle_alpha 90.00
_cell_angle_beta 90.00
_cell_angle_gamma 120.00
_space_group_name_H-M_alt 'P 1'
_space_group_IT_number 1
_space_group_name_Hall 'P 1'
loop_
_atom_site_label
_atom_site_type_symbol
_atom_site_fract_x
_atom_site_fract_y
_atom_site_fract_z
Ba1 Ba 0.000 0.000 0.000
Ba2 Ba 0.333 0.667 0.750
Ba3 Ba 0.000 0.000 0.500
Sr1 Sr 0.667 0.333 0.750
Ba4 Ba 0.667 0.333 0.250
Sr2 Sr 0.333 0.667 0.250

=====

[3]
# Ba5Sr, optimized geometry, DFT PBEsol
# VASP energy (eV/f.u.): -12.484
# ΔE to the lowest computed polymorph (kcal/mol of atoms): 0.157
# Calculated formation energy (meV per atom): 17
# Fermi-level density of states (states/eV/atom): 1.5047
data_Ba5Sr
_cell_length_a 4.378
_cell_length_b 4.378
_cell_length_c 18.064
_cell_angle_alpha 90.00
_cell_angle_beta 90.00
_cell_angle_gamma 90.00
_space_group_name_H-M_alt 'P 1'
_space_group_IT_number 1
_space_group_name_Hall 'P 1'
loop_
_atom_site_label
_atom_site_type_symbol
_atom_site_fract_x
_atom_site_fract_y
_atom_site_fract_z
Ba1 Ba 0.000 0.000 0.162
Sr1 Sr 0.500 0.500 0.000
Ba2 Ba 0.500 0.500 0.669
Ba3 Ba 0.000 0.000 0.838
Ba4 Ba 0.500 0.500 0.331
Ba5 Ba 0.000 0.000 0.500

=====

[4]
# Ba2Sr, optimized geometry, DFT PBEsol
# VASP energy (eV/f.u.): -6.088
# ΔE to the lowest computed polymorph (kcal/mol of atoms): 0.380
# Calculated formation energy (meV per atom): 17
# Fermi-level density of states (states/eV/atom): 1.3833
data_Ba2Sr
_cell_length_a 4.286
_cell_length_b 6.149
_cell_length_c 7.460
_cell_angle_alpha 114.34
_cell_angle_beta 106.69
_cell_angle_gamma 90.00
_space_group_name_H-M_alt 'P 1'
_space_group_IT_number 1
_space_group_name_Hall 'P 1'
loop_
_atom_site_label
_atom_site_type_symbol
_atom_site_fract_x
_atom_site_fract_y
_atom_site_fract_z
Ba1 Ba 0.334 0.334 0.668
Sr1 Sr 0.000 0.000 0.000
Ba2 Ba 0.666 0.666 0.332

=====

[5]
# BaSr3, optimized geometry, DFT PBEsol
# VASP energy (eV/f.u.): -7.634
# ΔE to the lowest computed polymorph (kcal/mol of atoms): 0.229
# Calculated formation energy (meV per atom): 9
# Fermi-level density of states (states/eV/atom): 1.2432
data_BaSr3
_cell_length_a 4.210
_cell_length_b 6.949
_cell_length_c 7.310
_cell_angle_alpha 90.00
_cell_angle_beta 90.00
_cell_angle_gamma 90.00
_space_group_name_H-M_alt 'P 1'
_space_group_IT_number 1
_space_group_name_Hall 'P 1'
loop_
_atom_site_label
_atom_site_type_symbol
_atom_site_fract_x
_atom_site_fract_y
_atom_site_fract_z
Sr1 Sr 0.000 0.500 0.334
Sr2 Sr 0.500 0.500 0.833
Ba1 Ba 0.000 0.000 0.000
Sr3 Sr 0.500 0.000 0.500

=====

[6]
# Ba2Sr, optimized geometry, DFT PBEsol
# VASP energy (eV/f.u.): -6.099
# ΔE to the lowest computed polymorph (kcal/mol of atoms): 0.298
# Calculated formation energy (meV per atom): 13
# Fermi-level density of states (states/eV/atom): 1.5246
data_Ba2Sr
_cell_length_a 4.274
_cell_length_b 8.261
_cell_length_c 10.234
_cell_angle_alpha 105.21
_cell_angle_beta 90.00
_cell_angle_gamma 104.99
_space_group_name_H-M_alt 'P 1'
_space_group_IT_number 1
_space_group_name_Hall 'P 1'
loop_
_atom_site_label
_atom_site_type_symbol
_atom_site_fract_x
_atom_site_fract_y
_atom_site_fract_z
Sr1 Sr 0.721 0.442 0.942
Ba1 Ba 0.333 0.667 0.668
Ba2 Ba 0.001 0.001 0.999
Ba3 Ba 0.666 0.332 0.333
Sr2 Sr 0.057 0.114 0.613
Ba4 Ba 0.389 0.778 0.278